Record 1
# Y4NiPt

Crystalline Y4NiPt at its relaxed geometry (PBE-GGA, Alexandria via LeMat-Bulk).

POSCAR file:
```
Y4NiPt
1.0
4.501 -6.946 0.000
4.501 6.946 0.000
-4.391 0.000 5.163
Y Ni Pt
8 2 2
Cartesian
-0.691 3.817 4.292
-1.069 0.330 3.904
1.126 -0.330 1.323
3.107 3.817 3.453
1.504 -3.817 1.710
3.485 0.330 3.840
5.680 -0.330 1.259
5.303 -3.817 0.871
1.208 5.599 3.872
3.403 -5.599 1.291
3.403 1.790 1.291
1.208 -1.790 3.872
```

Calculated values
The calculation puts the polymorph energy (0 for the lowest one) at 0 meV/atom. For the formation energy, the calculation gives -0.510 eV per atom.

Record 2
# Y2Ni2Pt

Crystalline Y2Ni2Pt at its relaxed geometry (PBE-GGA, Alexandria via LeMat-Bulk).

POSCAR file:
```
Y2Ni2Pt
1.0
-1.741 1.741 7.961
1.741 -1.741 7.961
1.741 1.741 -7.961
Y Ni Pt
2 2 1
Cartesian
0.000 0.000 1.753
0.000 0.000 14.170
1.741 0.000 3.981
0.000 1.741 3.981
0.000 0.000 7.961
```

Calculated values
The calculation puts the polymorph energy (0 for the lowest one) at 165 meV/atom. For the formation energy, the calculation gives -0.523 eV per atom.

Record 3
# Y3NiPt2

Crystalline Y3NiPt2 at its relaxed geometry (PBE-GGA, Alexandria via LeMat-Bulk).

POSCAR file:
```
Y3NiPt2
1.0
11.428 0.000 0.000
0.000 4.083 0.000
0.000 0.000 11.480
Y Ni Pt
12 4 8
Cartesian
0.573 1.021 1.427
1.394 3.062 6.407
2.479 1.021 9.250
3.235 3.062 3.510
4.320 1.021 0.667
5.141 3.062 7.167
6.286 1.021 4.313
7.108 3.062 10.814
8.193 1.021 7.970
8.949 3.062 2.230
10.034 1.021 5.074
10.855 3.062 10.053
1.414 1.021 4.285
4.300 3.062 10.025
7.127 1.021 1.455
10.014 3.062 7.195
0.088 3.062 3.549
2.112 3.062 11.425
3.602 1.021 5.685
5.625 1.021 9.289
5.802 3.062 2.191
7.826 3.062 5.795
9.316 1.021 0.055
11.339 1.021 7.931
```

Calculated values
For the formation energy, the calculation gives -0.967 eV per atom.

Record 4
# Y2Ni2Pt

Crystalline Y2Ni2Pt at its relaxed geometry (PBE-GGA, Alexandria via LeMat-Bulk).

POSCAR file:
```
Y2Ni2Pt
1.0
-2.590 2.590 3.697
2.590 -2.590 3.697
2.590 2.590 -3.697
Y Ni Pt
2 2 1
Cartesian
2.590 0.000 1.848
0.000 2.590 1.848
0.000 0.000 1.127
0.000 0.000 6.267
0.000 0.000 3.697
```

Calculated values
The calculation puts the polymorph energy (0 for the lowest one) at 231 meV/atom. For the formation energy, the calculation gives -0.457 eV per atom.

Record 5
# Y2Ni5Pt5

Crystalline Y2Ni5Pt5 at its relaxed geometry (PBE-GGA, Alexandria via LeMat-Bulk).

POSCAR file:
```
Y2Ni5Pt5
1.0
4.260 0.000 0.000
0.000 5.049 0.000
0.000 0.000 9.012
Y Ni Pt
2 5 5
Cartesian
0.000 0.000 0.000
0.000 2.525 4.506
2.130 0.000 4.506
2.130 1.255 2.319
2.130 1.255 6.693
2.130 3.794 2.319
2.130 3.794 6.693
0.000 0.000 3.020
0.000 0.000 5.993
0.000 2.525 1.617
0.000 2.525 7.396
2.130 2.525 0.000
```

Calculated values
For the formation energy, the calculation gives -0.576 eV per atom.

Record 6
# YNiPt

Crystalline YNiPt at its relaxed geometry (PBE-GGA, Alexandria via LeMat-Bulk).

POSCAR file:
```
YNiPt
1.0
4.228 0.000 0.000
-2.114 3.661 0.000
0.000 0.000 3.724
Y Ni Pt
1 1 1
Cartesian
0.000 0.000 0.000
2.114 1.220 1.862
0.000 2.441 1.862
```

Calculated values
For the formation energy, the calculation gives -0.777 eV per atom.

Number 1: total energy -6.79 eV/atom. Number 2: total energy -6.63 eV/atom. Number 3: total energy -7.18 eV/atom. Number 4: total energy -6.56 eV/atom. Number 5: total energy -6.58 eV/atom. Number 6: total energy -6.87 eV/atom.